This record from Alexandria describes a geometry-optimized Nd5Os2Cl2 structure. The functional is PBE-GGA.

The raw formation energy is -583 kJ/mol of formula units. The density comes out at 7.78 g/cm³.

The structure belongs to space group Cmce (No. 64); the cell edges are 15.3493, 8.0986 and 8.0500 Å and the angles 90.00°, 90.00° and 90.00°. The asymmetric unit holds Nd at (0.0000, 0.0000, 0.0000), Nd at (0.1159, 0.1567, 0.3489), Os at (0.0000, 0.1391, 0.6403) and Cl at (0.2074, 0.0000, 0.0000).